Below is a relaxed structure of Pm2Sm3Th3, with properties calculated at the GGA-PBE level.

Cell lengths 3.639, 9.229, 9.229 Å; angles 119.99, 90.00, 90.00 degrees
Positions (direct):
Pm 0.000 0.667 0.333
Pm 0.000 0.333 0.667
Sm 0.500 0.000 0.394
Sm 0.500 0.394 0.000
Sm 0.500 0.607 0.607
Th 0.000 0.000 0.777
Th 0.000 0.777 0.000
Th 0.000 0.223 0.223

total magnetic moment	0.0	μB/f.u.
energy of formation from the pure elements	1.483	eV per formula unit
mass density	8.892	g cm⁻³
DOS at the Fermi energy	11.94	states/eV/f.u.
E_tot	-5.55	eV/atom

***

Below is a relaxed structure of CdRuI2, with properties calculated at the GGA-PBE level.

Cell lengths 7.191, 7.191, 7.605 Å; angles 61.79, 61.79, 90.00 degrees
Positions (direct):
I 0.540 0.125 0.250
I 0.210 0.625 0.250
I 0.375 0.460 0.750
I 0.875 0.790 0.750
Ru 0.500 0.500 0.000
Ru 0.250 0.750 0.500
Cd 0.000 0.000 0.000
Cd 0.750 0.250 0.500

total magnetic moment	0.0	μB/f.u.
mass density	5.307	g cm⁻³
DOS at the Fermi energy	1.86	states/eV/f.u.
offset from the most stable computed form	0	meV/atom
raw formation energy	0.4264	eV/atom
E_tot	-2.90	eV/atom

***

Below is a relaxed structure of LiLa2HoTe4, with properties calculated at the GGA-PBE level.

Cell lengths 4.450, 7.735, 7.685 Å; angles 109.42, 90.00, 90.00 degrees
Positions (direct):
Li 0.000 0.000 0.000
La 0.500 0.000 0.500
La 0.000 0.500 0.500
Ho 0.500 0.500 0.000
Te 0.500 0.240 0.228
Te 0.500 0.760 0.772
Te 0.000 0.252 0.771
Te 0.000 0.748 0.229

total magnetic moment	0.0	μB/f.u.
mass density	6.391	g cm⁻³
DOS at the Fermi energy	3.49	states/eV/f.u.
raw formation energy	-1.4203	eV/atom
E_tot	-5.03	eV/atom

***

Below is a relaxed structure of GaAg4F8, with properties calculated at the GGA-PBE level.

Cell lengths 6.788, 6.788, 6.788 Å; angles 61.24, 61.24, 61.24 degrees
Each line ends with the local moment (μB).
Positions (direct):
Ga 0.500 0.500 0.500  0.00
Ag 0.500 0.000 0.500  0.23
Ag 0.000 0.500 0.500  0.23
Ag 0.500 0.500 0.000  0.23
Ag 0.000 0.000 0.000  0.00
F 0.299 0.698 0.299  0.02
F 0.701 0.701 0.302  0.02
F 0.701 0.302 0.701  0.02
F 0.302 0.701 0.701  0.02
F 0.726 0.726 0.726  0.12
F 0.274 0.274 0.274  0.12
F 0.698 0.299 0.299  0.02
F 0.299 0.299 0.698  0.02

total magnetic moment	1.1	μB/f.u.
mass density	4.771	g cm⁻³
DOS at the Fermi energy	5.14	states/eV/f.u.
raw formation energy	-1.4469	eV/atom
E_tot	-3.71	eV/atom

***

Below is a relaxed structure of RuRh, with properties calculated at the GGA-PBE level.

Cell lengths 4.743, 4.333, 5.460 Å; angles 90.00, 90.00, 90.00 degrees
Positions (direct):
Rh 0.087 0.250 0.123
Rh 0.413 0.750 0.623
Rh 0.587 0.250 0.377
Rh 0.913 0.750 0.877
Ru 0.080 0.250 0.626
Ru 0.420 0.750 0.126
Ru 0.580 0.250 0.874
Ru 0.920 0.750 0.374

total magnetic moment	0.0	μB/f.u.
energy of formation from the pure elements	0.040	eV per formula unit
mass density	12.072	g cm⁻³
DOS at the Fermi energy	2.28	states/eV/f.u.
E_tot	-8.29	eV/atom